Record 1
Computed, not measured: a relaxed Ca2MgTl crystal at the PBE level of DFT.

The structure in extended XYZ format:
```
4
Lattice="3.891 0.000 0.000 0.000 3.891 0.000 0.000 0.000 8.366" Properties=species:S:1:pos:R:3 pbc="T T T"
Ca 0.000 0.000 0.000
Ca 1.945 1.945 2.798
Mg 0.000 0.000 4.842
Tl 1.945 1.945 6.388
```

Output
- distance to the lowest polymorph of the same formula (eV/f.u.) = 0.51

=====

Record 2
Computed, not measured: a relaxed CaMgTl3 crystal at the PBE level of DFT.

The structure in extended XYZ format:
```
5
Lattice="5.947 0.000 0.000 0.000 5.947 0.000 0.000 0.000 5.947" Properties=species:S:1:pos:R:3 pbc="T T T"
Ca 0.000 0.000 0.000
Mg 2.973 2.973 2.973
Tl 0.000 0.000 2.973
Tl 0.000 2.973 0.000
Tl 2.973 0.000 0.000
```

Output
- distance to the lowest polymorph of the same formula (eV/f.u.) = 3.15

=====

Record 3
Computed, not measured: a relaxed CaMg6Tl12 crystal at the PBE level of DFT.

The structure in extended XYZ format:
```
19
Lattice="7.393 4.268 2.709 -7.393 4.268 2.709 0.000 -8.537 2.709" Properties=species:S:1:pos:R:3 pbc="T T T"
Ca 0.000 0.000 0.000
Mg -2.256 -3.102 2.613
Mg -1.558 3.505 2.613
Mg -3.814 0.403 5.512
Mg 3.814 -0.403 2.613
Mg 1.558 -3.505 5.512
Mg 2.256 3.102 5.512
Tl -4.666 2.097 2.773
Tl 0.517 -5.090 2.773
Tl -2.038 0.167 2.747
Tl -4.149 -2.993 5.353
Tl 0.875 -1.848 2.747
Tl 1.163 1.682 2.747
Tl -1.163 -1.682 5.379
Tl -0.875 1.848 5.379
Tl 4.149 2.993 2.773
Tl 2.038 -0.167 5.379
Tl -0.517 5.090 5.353
Tl 4.666 -2.097 5.353
```

Output
- distance to the lowest polymorph of the same formula (eV/f.u.) = 0.00

=====

Going through the records in order, we get formation enthalpy at 0 K values of -0.160; 0.484; -0.041 eV/atom.
Going through the records in order, we get electronic total energy values of -2.15; -1.66; -2.14 eV/atom.
Going through the records in order, we get V values of 126.6; 210.3; 512.8 Å³/cell.